This record from the Open Quantum Materials Database describes Li8CoO6 after structural relaxation. The functional is GGA+U.

Lattice parameters (Å, degrees): 5.710 5.710 5.710 55.35 55.35 55.35
Element x y z (fractional)
Li1 0.014 0.402 0.736
Li2 0.160 0.160 0.160
Li3 0.264 0.986 0.598
Li4 0.402 0.736 0.014
Li5 0.598 0.264 0.986
Li6 0.736 0.014 0.402
Li7 0.840 0.840 0.840
Li8 0.986 0.598 0.264
Co1 0.500 0.500 0.500
O1 0.127 0.731 0.412
O2 0.269 0.588 0.873
O3 0.412 0.127 0.731
O4 0.588 0.873 0.269
O5 0.731 0.412 0.127
O6 0.873 0.269 0.588

Magnetic moment ... 0.067 μB/atom
E ... -4.970 eV/atom
Space-group type ... No. 148